No. 1
{
  "formula": "Nd2In8Ru",
  "functional": "GGA-PBE",
  "state": "relaxed",
  "dos_ef_per_ev_fu": 4.94,
  "ef_mev_per_atom": -370,
  "m_tot_mub_per_atom": 0.00,
  "e_tot_ev_per_atom": -4.072,
  "crystal_system": "tetragonal",
  "cell": [[4.6824, 0.0000, 0.0000], [0.0000, 4.6824, 0.0000], [0.0000, 0.0000, 12.4428]],
  "species": ["Nd", "Nd", "In", "In", "In", "In", "In", "In", "In", "In", "Ru"],
  "fractional_positions": [[0.0000, 0.0000, 0.3073], [0.0000, 0.0000, 0.6927], [0.0000, 0.5000, 0.5000], [0.5000, 0.0000, 0.5000], [0.5000, 0.5000, 0.3090], [0.5000, 0.5000, 0.6910], [0.0000, 0.5000, 0.1198], [0.5000, 0.0000, 0.1198], [0.0000, 0.5000, 0.8802], [0.5000, 0.0000, 0.8802], [0.0000, 0.0000, 0.0000]]
}



No. 2
{
  "formula": "Nd4In2Ru",
  "functional": "GGA-PBE",
  "state": "relaxed",
  "dos_ef_per_ev_fu": 6.78,
  "e_above_lowest_polymorph_ev_per_atom": 0.139,
  "ef_mev_per_atom": -211,
  "m_tot_mub_per_atom": 0.00,
  "e_tot_ev_per_atom": -5.044,
  "crystal_system": "monoclinic",
  "cell": [[-0.9473, -2.7105, 2.1238], [2.4852, -4.4601, -4.5837], [6.4617, 2.7949, 6.4491]],
  "species": ["Nd", "Nd", "Nd", "Nd", "In", "In", "Ru"],
  "fractional_positions": [[0.5000, 0.2564, 0.9230], [0.0000, 0.4350, 0.3275], [0.5000, 0.8864, 0.2199], [0.0000, 0.7079, 0.8154], [0.5000, 0.2886, 0.5705], [0.5000, 0.8543, 0.5724], [0.0000, 0.0714, 0.0715]]
}



No. 3
{
  "formula": "Nd2U2InRu5",
  "functional": "GGA-PBE",
  "state": "relaxed",
  "dos_ef_per_ev_fu": 8.76,
  "ef_mev_per_atom": -113,
  "m_tot_mub_per_atom": 0.00,
  "e_tot_ev_per_atom": -8.236,
  "crystal_system": "tetragonal",
  "cell": [[-3.3189, 0.1702, -0.4160], [-1.4757, -3.4322, 10.3693], [0.1007, 10.4588, 3.4761]],
  "species": ["Nd", "Nd", "Nd", "Nd", "U", "U", "U", "U", "In", "In", "Ru", "Ru", "Ru", "Ru", "Ru", "Ru", "Ru", "Ru", "Ru", "Ru"],
  "fractional_positions": [[0.0000, 0.6647, 0.1647], [0.0000, 0.3353, 0.8353], [0.0000, 0.1647, 0.3353], [0.0000, 0.8353, 0.6647], [0.0000, 0.1492, 0.6492], [0.0000, 0.8508, 0.3508], [0.0000, 0.6492, 0.8508], [0.0000, 0.3508, 0.1492], [0.0000, 0.0000, 0.0000], [0.0000, 0.5000, 0.5000], [0.5000, 0.2129, 0.0504], [0.5000, 0.7871, 0.9496], [0.5000, 0.0504, 0.7871], [0.5000, 0.7129, 0.4496], [0.5000, 0.9496, 0.2129], [0.5000, 0.2871, 0.5504], [0.5000, 0.5504, 0.7129], [0.5000, 0.4496, 0.2871], [0.5000, 0.5000, 0.0000], [0.5000, 0.0000, 0.5000]]
}



No. 4
{
  "formula": "NdYInRu",
  "functional": "GGA-PBE",
  "state": "relaxed",
  "dos_ef_per_ev_fu": 2.49,
  "ef_mev_per_atom": -265,
  "m_tot_mub_per_atom": 0.00,
  "e_tot_ev_per_atom": -6.077,
  "crystal_system": "cubic",
  "cell": [[-1.5794, -4.1458, 2.6234], [1.2730, -4.7206, -1.6307], [3.3999, -2.8157, 2.6602]],
  "species": ["Y", "Ru", "Nd", "In"],
  "fractional_positions": [[0.5000, 0.5000, 0.5000], [0.7500, 0.7500, 0.7500], [0.0000, 0.0000, 0.0000], [0.2500, 0.2500, 0.2500]]
}



No. 5
{
  "formula": "Nd3InS6",
  "functional": "GGA-PBE",
  "state": "relaxed",
  "m_tot_mub_per_atom": 0.00,
  "e_tot_ev_per_atom": -5.876,
  "crystal_system": "orthorhombic",
  "cell": [[-3.9554, 0.2257, -0.5889], [-1.8815, -10.7421, 8.5211], [-1.3405, 10.6001, 13.0670]],
  "species": ["Nd", "Nd", "Nd", "Nd", "Nd", "Nd", "Nd", "Nd", "Nd", "Nd", "Nd", "Nd", "In", "In", "In", "In", "S", "S", "S", "S", "S", "S", "S", "S", "S", "S", "S", "S", "S", "S", "S", "S", "S", "S", "S", "S", "S", "S", "S", "S"],
  "fractional_positions": [[0.2528, 0.0354, 0.7772], [0.2528, 0.9646, 0.2228], [0.7472, 0.4646, 0.2772], [0.7472, 0.5354, 0.7228], [0.2592, 0.2477, 0.6094], [0.2592, 0.7523, 0.3906], [0.7408, 0.2523, 0.1094], [0.7408, 0.7477, 0.8906], [0.7461, 0.3074, 0.8568], [0.7461, 0.6926, 0.1432], [0.2539, 0.1926, 0.3568], [0.2539, 0.8074, 0.6432], [0.7550, 0.0000, 0.5000], [0.2450, 0.5000, 0.0000], [0.3974, 0.5000, 0.5000], [0.6026, 0.0000, 0.0000], [0.7639, 0.3977, 0.5898], [0.7639, 0.6023, 0.4102], [0.2361, 0.1023, 0.0898], [0.2361, 0.8977, 0.9102], [0.2451, 0.3104, 0.9823], [0.2451, 0.6896, 0.0177], [0.7549, 0.1896, 0.4823], [0.7549, 0.8104, 0.5177], [0.7509, 0.1055, 0.8877], [0.7509, 0.8945, 0.1123], [0.2491, 0.3945, 0.3877], [0.2491, 0.6055, 0.6123], [0.7563, 0.1770, 0.7174], [0.7563, 0.8230, 0.2826], [0.2437, 0.3230, 0.2174], [0.2437, 0.6770, 0.7826], [0.2475, 0.3843, 0.7563], [0.2475, 0.6157, 0.2437], [0.7525, 0.1157, 0.2563], [0.7525, 0.8843, 0.7437], [0.2547, 0.0198, 0.6029], [0.2547, 0.9802, 0.3971], [0.7453, 0.4802, 0.1029], [0.7453, 0.5198, 0.8971]]
}



No. 6
{
  "formula": "Nd3InS",
  "functional": "GGA-PBE",
  "state": "relaxed",
  "dos_ef_per_ev_fu": 4.45,
  "e_above_lowest_polymorph_ev_per_atom": 0.000,
  "m_tot_mub_per_atom": 0.11,
  "e_tot_ev_per_atom": -5.233,
  "crystal_system": "orthorhombic",
  "cell": [[-0.9077, 3.6208, -1.6751], [1.0568, -3.6578, -8.4791], [-15.0368, -3.8653, -0.2067]],
  "species": ["Nd", "Nd", "Nd", "Nd", "Nd", "Nd", "Nd", "Nd", "Nd", "Nd", "Nd", "Nd", "In", "In", "In", "In", "S", "S", "S", "S"],
  "fractional_positions": [[0.2500, 0.3368, 0.5127], [0.7500, 0.7990, 0.2127], [0.7500, 0.5274, 0.8902], [0.7500, 0.0274, 0.6098], [0.7500, 0.6632, 0.4873], [0.2500, 0.9726, 0.3902], [0.2500, 0.8368, 0.9873], [0.7500, 0.2990, 0.2873], [0.2500, 0.7010, 0.7127], [0.2500, 0.2010, 0.7873], [0.7500, 0.1632, 0.0127], [0.2500, 0.4726, 0.1098], [0.7500, 0.9220, 0.8249], [0.2500, 0.0780, 0.1751], [0.7500, 0.4220, 0.6751], [0.2500, 0.5780, 0.3249], [0.2500, 0.3381, 0.9462], [0.2500, 0.8381, 0.5538], [0.7500, 0.1619, 0.4462], [0.7500, 0.6619, 0.0538]]
}



No. 7
{
  "formula": "Nd4In5S13",
  "functional": "GGA-PBE",
  "state": "relaxed",
  "dos_ef_per_ev_fu": 3.06,
  "m_tot_mub_per_atom": 0.00,
  "e_tot_ev_per_atom": -5.145,
  "crystal_system": "orthorhombic",
  "cell": [[3.9665, 0.0000, 0.0000], [0.0000, 12.0234, 0.0000], [0.0000, 0.0000, 21.6677]],
  "species": ["Nd", "Nd", "Nd", "Nd", "Nd", "Nd", "Nd", "Nd", "In", "In", "In", "In", "In", "In", "In", "In", "In", "In", "S", "S", "S", "S", "S", "S", "S", "S", "S", "S", "S", "S", "S", "S", "S", "S", "S", "S", "S", "S", "S", "S", "S", "S", "S", "S"],
  "fractional_positions": [[0.0000, 0.4800, 0.8301], [0.0000, 0.5200, 0.1699], [0.0000, 0.9800, 0.6699], [0.0000, 0.0200, 0.3301], [0.0000, 0.6718, 0.3423], [0.0000, 0.3282, 0.6577], [0.0000, 0.1718, 0.1577], [0.0000, 0.8282, 0.8423], [0.5000, 0.6531, 0.6690], [0.5000, 0.3469, 0.3310], [0.5000, 0.1531, 0.8310], [0.5000, 0.8469, 0.1690], [0.5000, 0.8450, 0.4923], [0.5000, 0.1550, 0.5077], [0.5000, 0.3450, 0.0077], [0.5000, 0.6550, 0.9923], [0.0000, 0.5000, 0.5000], [0.0000, 0.0000, 0.0000], [0.0000, 0.0000, 0.5000], [0.0000, 0.5000, 0.0000], [0.5000, 0.8375, 0.6129], [0.5000, 0.1625, 0.3871], [0.5000, 0.3375, 0.8871], [0.5000, 0.6625, 0.1129], [0.0000, 0.6662, 0.7384], [0.0000, 0.3338, 0.2616], [0.0000, 0.1662, 0.7616], [0.0000, 0.8338, 0.2384], [0.0000, 0.7039, 0.4772], [0.0000, 0.2961, 0.5228], [0.0000, 0.2039, 0.0228], [0.0000, 0.7961, 0.9772], [0.5000, 0.4963, 0.5918], [0.5000, 0.5037, 0.4082], [0.5000, 0.9963, 0.9082], [0.5000, 0.0037, 0.0918], [0.5000, 0.6497, 0.8669], [0.5000, 0.3503, 0.1331], [0.5000, 0.1497, 0.6331], [0.5000, 0.8503, 0.3669], [0.5000, 0.0820, 0.2389], [0.5000, 0.9180, 0.7611], [0.5000, 0.5820, 0.2611], [0.5000, 0.4180, 0.7389]]
}



No. 8
{
  "formula": "NdInS2",
  "functional": "GGA-PBE",
  "state": "relaxed",
  "e_above_lowest_polymorph_ev_per_atom": 0.024,
  "m_tot_mub_per_atom": 0.00,
  "e_tot_ev_per_atom": -5.280,
  "crystal_system": "trigonal",
  "cell": [[-1.1466, -1.7276, 3.5927], [-0.2157, -4.1285, 0.3406], [6.8081, -2.1481, 3.5346]],
  "species": ["Nd", "In", "S", "S"],
  "fractional_positions": [[0.6664, 0.6664, 0.0007], [0.4938, 0.4938, 0.5185], [0.0715, 0.0715, 0.7854], [0.2682, 0.2682, 0.1953]]
}